The following is a DFT calculation (GGA-PBE) of Li2CdNi after structural relaxation.

Structure (extended XYZ):
```
4
Lattice="4.845 0.036 0.000 1.754 4.517 0.000 -3.300 -2.276 2.722" Properties=species:S:1:pos:R:3 pbc="T T T"
Ni 0.877 2.258 1.361
Li 0.000 0.000 0.000
Li 3.300 2.276 0.000
Cd 2.423 0.018 1.361
```

Values from the calculation:
Formation enthalpy at 0 K = -1.43 kcal/mol of atoms
V = 59.40 Å³/cell
Space-group type = I4/mmm


The following is a DFT calculation (GGA-PBE) of Li2CdNi after structural relaxation.

Structure (extended XYZ):
```
4
Lattice="9.203 0.021 0.012 8.768 2.797 0.012 8.768 1.375 2.436" Properties=species:S:1:pos:R:3 pbc="T T T"
Cd 20.055 3.145 1.845
Li 26.439 4.146 2.433
Li 13.670 2.144 1.258
Ni 6.685 1.048 0.615
```

Values from the calculation:
Formation enthalpy at 0 K = 0.05 kcal/mol of atoms
V = 61.93 Å³/cell
Space-group type = R-3m


The following is a DFT calculation (GGA-PBE) of LiCdNi after structural relaxation.

Structure (extended XYZ):
```
3
Lattice="4.962 -0.099 0.109 4.018 2.914 0.123 0.945 0.283 2.999" Properties=species:S:1:pos:R:3 pbc="T T T"
Cd 0.974 0.292 2.989
Li 3.504 1.089 2.118
Ni 6.392 2.000 1.123
```

Values from the calculation:
Formation enthalpy at 0 K = -0.23 kcal/mol of atoms
Excess energy over the best structure of this formula in the dataset = 26 meV/atom
V = 44.19 Å³/cell
Space-group type = I4mm


The following is a DFT calculation (GGA-PBE) of Li2CdNi after structural relaxation.

Structure (extended XYZ):
```
4
Lattice="-1.178 3.537 -1.750 -3.386 -1.543 -0.840 -1.378 1.198 3.349" Properties=species:S:1:pos:R:3 pbc="T T T"
Ni -2.282 0.997 -1.295
Li 0.000 0.000 0.000
Li -2.382 -0.173 1.255
Cd -1.278 2.368 0.800
```

Values from the calculation:
Formation enthalpy at 0 K = -1.31 kcal/mol of atoms
V = 59.93 Å³/cell
Space-group type = P4/mmm


The following is a DFT calculation (GGA-PBE) of LiCdNiOs2 after structural relaxation.

Structure (extended XYZ):
```
5
Lattice="4.465 0.000 0.000 0.000 4.355 0.000 0.000 0.000 4.465" Properties=species:S:1:pos:R:3 pbc="T T T"
Ni 0.000 0.000 0.000
Li 0.000 2.178 0.000
Os 0.000 0.000 2.233
Os 2.233 0.000 0.000
Cd 2.233 2.178 2.233
```

Values from the calculation:
Formation enthalpy at 0 K = 27.42 kcal/mol of atoms
V = 86.83 Å³/cell
Space-group type = P4/mmm


The following is a DFT calculation (GGA-PBE) of LiPaCdNi after structural relaxation.

Structure (extended XYZ):
```
4
Lattice="4.659 0.000 0.000 2.329 4.035 0.000 2.329 1.345 3.804" Properties=species:S:1:pos:R:3 pbc="T T T"
Ni 4.659 2.690 1.902
Pa 2.329 1.345 0.951
Li 0.000 0.000 0.000
Cd 6.988 4.035 2.853
```

Values from the calculation:
Formation enthalpy at 0 K = 0.29 kcal/mol of atoms
V = 71.50 Å³/cell
Space-group type = F-43m


The following is a DFT calculation (GGA-PBE) of LiCdNiPb after structural relaxation.

Structure (extended XYZ):
```
4
Lattice="-2.942 -3.471 0.920 0.864 -4.265 -1.616 1.243 -3.383 2.926" Properties=species:S:1:pos:R:3 pbc="T T T"
Pb -0.209 -2.780 0.557
Ni -0.417 -5.560 1.114
Li 0.000 0.000 0.000
Cd -0.626 -8.340 1.672
```

Values from the calculation:
Formation enthalpy at 0 K = -2.09 kcal/mol of atoms
V = 70.75 Å³/cell
Space-group type = F-43m


The following is a DFT calculation (GGA-PBE) of LiPmCdNi after structural relaxation.

Structure (extended XYZ):
```
4
Lattice="-0.163 -4.768 0.181 4.021 -2.543 -0.399 1.753 -2.306 3.795" Properties=species:S:1:pos:R:3 pbc="T T T"
Ni 1.403 -2.404 0.894
Cd 2.805 -4.809 1.789
Li 4.208 -7.213 2.683
Pm 0.000 0.000 0.000
```

Values from the calculation:
Formation enthalpy at 0 K = -3.91 kcal/mol of atoms
V = 76.96 Å³/cell
Space-group type = F-43m